V2GaNiH | PBE-GGA | relaxed

Cell lengths 3.6804, 3.6804, 3.9660 Å; angles 90.00, 90.00, 90.00 degrees
Closest atoms and distances in Å follow each position.
Fractional positions:
1 V 0.0000 0.5000 0.0000  2 H 1.84
2 V 0.5000 0.0000 0.0000  2 H 1.84
3 Ga 0.0000 0.0000 0.5000  4 Ni 2.60, 8 V 2.71
4 Ni 0.5000 0.5000 0.5000  2 H 1.98
5 H 0.5000 0.5000 0.0000  4 V 1.84, 2 Ni 1.98

- final energy (eV/atom) = -6.323
- N(E_F) (states/eV/f.u.) = 3.3
- crystal system = tetragonal